Compound: K2CdHgH
Source: the Alexandria database
Functional: PBE
Structure: relaxed

## Properties
The value obtained for the magnetic moment is 0.019 μB per atom. Its energy above the lowest structure with this stoichiometry is 0.0 kJ/mol of atoms. The density is 4.58 g/cm3.

Cell lengths 5.292, 5.292, 5.072 Å; angles 90.00, 90.00, 90.00 degrees
Space group P4/mmm (No. 123)
Symmetry-distinct sites (fractional):
K1 0.000 0.500 0.000 (multiplicity 2)
Cd1 0.000 0.000 0.500 (multiplicity 1)
Hg1 0.500 0.500 0.500 (multiplicity 1)
H1 0.000 0.000 0.000 (multiplicity 1)